Entry 1:
This record from Alexandria via LeMat-Bulk describes an optimized crystal structure of ZrScSn2. The functional is PBE.

POSCAR file:
```
ZrScSn2
1.0
0.6832 -3.0942 -4.9672
3.2366 -3.9748 2.9211
-9.3213 -4.1116 4.7332
Zr Sc Sn
4 4 8
Direct
0.4445 0.1203 0.6280 Zr
0.5555 0.8797 0.3720 Zr
0.9445 0.8797 0.1280 Zr
0.0555 0.1203 0.8720 Zr
0.9346 0.6290 0.6302 Sc
0.5654 0.6290 0.8698 Sc
0.4346 0.3710 0.1302 Sc
0.0654 0.3710 0.3698 Sc
0.9211 0.3783 0.1004 Sn
0.9298 0.1277 0.6012 Sn
0.0789 0.6217 0.8996 Sn
0.5789 0.3783 0.3996 Sn
0.4211 0.6217 0.6004 Sn
0.0702 0.8723 0.3988 Sn
0.5702 0.1277 0.8988 Sn
0.4298 0.8723 0.1012 Sn
```

Output
Energy: -100.1 eV for the cell shown
Polymorph energy (0 for the lowest one): 0 meV per atom
Energy of formation from the pure elements: -0.534 eV per atom
Volume: 377.1 Å³/cell
N(E_F): 5.25 states/eV per cell
SG: P2/c (13)

Entry 2:
This record from Alexandria via LeMat-Bulk describes an optimized crystal structure of CsKSr2Pt. The functional is PBE.

POSCAR file:
```
CsKSr2Pt
1.0
6.0193 0.0000 0.0000
0.0000 6.0193 0.0000
0.0000 0.0000 7.0223
Sr Cs K Pt
2 1 1 1
Direct
0.0000 0.5000 0.0000 Sr
0.5000 0.0000 0.0000 Sr
0.5000 0.5000 0.5000 Cs
0.0000 0.0000 0.5000 K
0.0000 0.0000 0.0000 Pt
```

Output
Energy: -12.4 eV for the cell shown
Polymorph energy (0 for the lowest one): 11 meV per atom
Energy of formation from the pure elements: -0.204 eV per atom
Volume: 254.4 Å³/cell
N(E_F): 2.80 states/eV per cell
SG: P4/mmm (123)

Entry 3:
This record from Alexandria via LeMat-Bulk describes an optimized crystal structure of ScBeIn2. The functional is PBE.

POSCAR file:
```
ScBeIn2
1.0
5.3895 -0.0048 -0.0236
2.0798 4.9721 0.0236
-3.7200 -2.5057 2.9885
In Sc Be
2 1 1
Direct
0.0003 0.0003 0.0000 In
0.4997 0.4997 0.0000 In
0.7500 0.2500 0.5000 Sc
0.2500 0.7500 0.5000 Be
```

Output
Energy: -15.3 eV for the cell shown
Energy of formation from the pure elements: 0.063 eV per atom
Volume: 80.1 Å³/cell
N(E_F): 2.51 states/eV per cell
SG: I4/mmm (139)

Entry 4:
This record from Alexandria via LeMat-Bulk describes an optimized crystal structure of Ac3PrY2. The functional is PBE.

POSCAR file:
```
Ac3PrY2
1.0
7.0451 0.2621 1.1408
-1.8746 9.1321 1.5029
-0.4187 -0.2621 7.1245
Y Ac Pr
4 6 2
Direct
0.1194 0.3798 0.3832 Y
0.6168 0.8798 0.8806 Y
0.3832 0.1202 0.1194 Y
0.8806 0.6202 0.6168 Y
0.5567 0.2500 0.5567 Ac
0.7049 0.5219 0.1340 Ac
0.8660 0.0219 0.2951 Ac
0.2951 0.4781 0.8660 Ac
0.1340 0.9781 0.7049 Ac
0.4433 0.7500 0.4433 Ac
0.8805 0.2500 0.8805 Pr
0.1195 0.7500 0.1195 Pr
```

Output
Energy: -58.9 eV for the cell shown
Energy of formation from the pure elements: 0.099 eV per atom
Volume: 469.4 Å³/cell
N(E_F): 17.01 states/eV per cell
SG: C2/c (15)

Entry 5:
This record from Alexandria via LeMat-Bulk describes an optimized crystal structure of NiSe. The functional is PBE.

POSCAR file:
```
NiSe
1.0
-0.0052 1.1678 -4.2650
-3.7262 1.4457 -1.8920
-0.4003 4.2574 -1.1262
Ni Se
2 2
Direct
0.0000 0.0000 0.0000 Ni
0.2500 0.2500 0.2500 Ni
0.7500 0.7500 0.7500 Se
0.5000 0.5000 0.5000 Se
```

Output
Energy: -16.3 eV for the cell shown
Volume: 61.1 Å³/cell
N(E_F): 3.18 states/eV per cell
Raw formation energy: 0.568 eV/atom
SG: Fd-3m (227)

Entry 6:
This record from Alexandria via LeMat-Bulk describes an optimized crystal structure of CeTm2TeO8. The functional is PBE.

POSCAR file:
```
CeTm2TeO8
1.0
-3.7467 2.5555 -1.9795
0.3511 -2.8518 -4.0302
-4.4952 -4.4529 2.7591
O Tm Te Ce
8 2 1 1
Direct
0.3078 0.3073 0.5000 O
0.8157 0.1848 0.2130 O
0.8158 0.1849 0.7870 O
0.2823 0.2814 0.0000 O
0.1843 0.8152 0.7870 O
0.7177 0.7186 0.0000 O
0.6922 0.6927 0.5000 O
0.1842 0.8151 0.2130 O
0.5000 0.5000 0.7577 Tm
0.5000 0.5000 0.2423 Tm
0.0000 0.0000 0.0000 Te
0.0000 0.0000 0.5000 Ce
```

Output
Energy: -90.3 eV for the cell shown
Volume: 169.0 Å³/cell
N(E_F): 0.00 states/eV per cell
Raw formation energy: -2.718 eV/atom
SG: Cmmm (65)

Entry 7:
This record from Alexandria via LeMat-Bulk describes an optimized crystal structure of SmEuGe. The functional is PBE.

POSCAR file:
```
SmEuGe
1.0
-1.7138 -4.5915 -1.3927
1.8877 -4.1955 2.1892
-2.8833 -2.7212 3.2000
Sm Eu Ge
1 1 1
Direct
0.5000 0.5000 0.5000 Sm
0.0000 0.0000 0.0000 Eu
0.2500 0.2500 0.2500 Ge
```

Output
Energy: -21.1 eV for the cell shown
Polymorph energy (0 for the lowest one): 0 meV per atom
Energy of formation from the pure elements: -0.489 eV per atom
Volume: 93.5 Å³/cell
N(E_F): 9.05 states/eV per cell
SG: F-43m (216)

Entry 8:
This record from Alexandria via LeMat-Bulk describes an optimized crystal structure of Ca2TlZn. The functional is PBE.

POSCAR file:
```
Ca2TlZn
1.0
4.0149 0.0000 0.0000
0.0000 4.2953 0.0000
0.0000 0.0000 6.8432
Ca Zn Tl
2 1 1
Direct
0.0000 0.0000 0.9476 Ca
0.5000 0.5000 0.2940 Ca
0.5000 0.5000 0.7655 Zn
0.0000 0.0000 0.4929 Tl
```

Output
Energy: -8.3 eV for the cell shown
Energy of formation from the pure elements: -0.160 eV per atom
Volume: 118.0 Å³/cell
N(E_F): 2.25 states/eV per cell
SG: Pmm2 (25)